a | ! TeMo2Pb, optimized geometry, DFT PBE; values from VASP
! V in Å³ per cell: 82.5
! Spin magnetization in μB per cell: 0.0
! Theoretical density in g/cm³: 10.60
! Symmetry: P2/m, No. 10
&SYSTEM
  ibrav = 0, nat = 4, ntyp = 3
/
ATOMIC_SPECIES
Te 127.60 Te.upf
Mo 95.94 Mo.upf
Pb 207.20 Pb.upf
CELL_PARAMETERS angstrom
-3.915 0.166 -1.678
-0.156 -3.233 0.043
-2.393 -0.712 5.511
ATOMIC_POSITIONS crystal
Te 0.500 0.750 0.750
Mo 0.000 0.960 0.963
Mo 0.000 0.540 0.537
Pb 0.500 0.250 0.250


b | ! TeMo2Pb, optimized geometry, DFT PBE; values from VASP
! V in Å³ per cell: 96.3
! Spin magnetization in μB per cell: 0.0
! Theoretical density in g/cm³: 9.09
! Symmetry: R3m, No. 160
&SYSTEM
  ibrav = 0, nat = 4, ntyp = 3
/
ATOMIC_SPECIES
Mo 95.94 Mo.upf
Te 127.60 Te.upf
Pb 207.20 Pb.upf
CELL_PARAMETERS angstrom
-5.726 7.215 -5.257
-4.158 5.877 -7.787
-6.903 4.516 -6.665
ATOMIC_POSITIONS crystal
Mo 0.267 0.267 0.267
Te 0.725 0.725 0.725
Pb 0.518 0.518 0.518
Mo 0.990 0.990 0.990


c | ! TeMo2Pb, optimized geometry, DFT PBE; values from VASP
! V in Å³ per cell: 91.7
! Spin magnetization in μB per cell: 0.0
! Theoretical density in g/cm³: 9.53
! Symmetry: Cmm2, No. 35
&SYSTEM
  ibrav = 0, nat = 4, ntyp = 3
/
ATOMIC_SPECIES
Pb 207.20 Pb.upf
Mo 95.94 Mo.upf
Te 127.60 Te.upf
CELL_PARAMETERS angstrom
3.080 0.002 0.000
-1.085 2.883 0.000
0.000 0.000 10.331
ATOMIC_POSITIONS crystal
Pb 0.000 0.000 0.451
Mo 0.000 0.000 0.031
Mo 0.500 0.500 0.209
Te 0.500 0.500 0.809


Which one sits at the top of the stability order? b does.


a | ! TlMoPb3, optimized geometry, DFT PBE; values from VASP
! V in Å³ per cell: 194.4
! Spin magnetization in μB per cell: 4.8
! Theoretical density in g/cm³: 7.87
! Symmetry: Pm-3m, No. 221
&SYSTEM
  ibrav = 0, nat = 5, ntyp = 3
/
ATOMIC_SPECIES
Pb 207.20 Pb.upf
Mo 95.94 Mo.upf
Tl 204.38 Tl.upf
CELL_PARAMETERS angstrom
5.793 0.000 0.000
0.000 5.793 0.000
0.000 0.000 5.793
ATOMIC_POSITIONS crystal
Pb 0.500 0.000 0.000
Pb 0.000 0.000 0.500
Mo 0.500 0.500 0.500
Tl 0.000 0.000 0.000
Pb 0.000 0.500 0.000


b | ! TlMoPb3, optimized geometry, DFT PBE; values from VASP
! V in Å³ per cell: 161.7
! Spin magnetization in μB per cell: 0.0
! Theoretical density in g/cm³: 9.47
! Symmetry: Pm-3m, No. 221
&SYSTEM
  ibrav = 0, nat = 5, ntyp = 3
/
ATOMIC_SPECIES
Mo 95.94 Mo.upf
Tl 204.38 Tl.upf
Pb 207.20 Pb.upf
CELL_PARAMETERS angstrom
5.448 0.000 0.000
0.000 5.448 0.000
0.000 0.000 5.448
ATOMIC_POSITIONS crystal
Mo 0.000 0.000 0.000
Tl 0.500 0.500 0.500
Pb 0.000 0.500 0.000
Pb 0.500 0.000 0.000
Pb 0.000 0.000 0.500


Which one sits at the top of the stability order? b does.